No. 1
TbY2: relaxed, PBE.

The structure in POSCAR format:
```
TbY2
1.0
7.7699 -1.7826 0.0000
7.7699 1.7826 0.0000
-1.6384 0.0000 6.9472
Tb Y
2 4
Direct
0.1673 0.1673 0.0829 Tb
0.8327 0.8327 0.9171 Tb
0.1668 0.1668 0.5840 Y
0.4994 0.4994 0.7507 Y
0.5006 0.5006 0.2493 Y
0.8332 0.8332 0.4160 Y
```

Computed properties:
raw total energy	-0.4286	Ry/atom
energy relative to the elements	21	meV per atom


No. 2
CoSN: relaxed, PBE.

The structure in POSCAR format:
```
CoSN
1.0
3.1339 0.0000 0.0000
-1.5616 3.2608 0.0000
-1.5526 -0.8387 3.6692
Co S N
1 1 1
Direct
0.0000 0.0000 0.0000 Co
0.7054 0.9901 0.4238 S
0.3302 0.6059 0.0539 N
```

Computed properties:
raw total energy	-0.4521	Ry/atom